(1)
Entry from Alexandria: a geometry-optimized CuCl3F structure (PBE).

a b c (Å): 4.647 4.647 4.647
angles (deg): 90.00 90.00 90.00
Element x y z (fractional)
Cu 0.000 0.000 0.000
Cl 0.000 0.000 0.500
Cl 0.000 0.500 0.000
Cl 0.500 0.000 0.000
F 0.500 0.500 0.500

E   -2.27 eV/atom
Crystal system   cubic
Offset from the most stable computed form   380 meV/atom
Formation energy (no corrections)   0.0269 eV/atom
Spin magnetization   1.50 μB per formula unit

***

(2)
Entry from Alexandria: a geometry-optimized MgBrNO2 structure (PBE).

a b c (Å): 4.072 4.072 3.733
angles (deg): 90.00 90.00 90.00
Element x y z (fractional)
Mg 0.000 0.000 0.000
Br 0.500 0.500 0.500
N 0.500 0.500 0.000
O 0.000 0.500 0.500
O 0.500 0.000 0.500

E   -3.71 eV/atom
Crystal system   tetragonal
Formation energy (no corrections)   0.5873 eV/atom
Spin magnetization   0.00 μB per formula unit

***

(3)
Entry from Alexandria: a geometry-optimized YThScOs structure (PBE).

a b c (Å): 5.096 5.096 5.096
angles (deg): 60.00 60.00 60.00
Element x y z (fractional)
Y 0.000 0.000 0.000
Th 0.500 0.500 0.500
Sc 0.250 0.250 0.250
Os 0.750 0.750 0.750

E   -7.86 eV/atom
Crystal system   cubic
Energy of formation from the pure elements   0 kJ/mol of atoms
Spin magnetization   0.00 μB per formula unit

***

(4)
Entry from Alexandria: a geometry-optimized HfBeAl2Fe structure (PBE).

a b c (Å): 4.456 4.456 4.606
angles (deg): 90.00 90.00 90.00
Element x y z (fractional)
Hf 0.000 0.000 0.000
Be 0.500 0.500 0.000
Al 0.000 0.500 0.500
Al 0.500 0.000 0.500
Fe 0.000 0.000 0.500

E   -5.53 eV/atom
Crystal system   tetragonal
Energy of formation from the pure elements   38 kJ/mol of atoms
Spin magnetization   0.00 μB per formula unit

***

Question: Which value of E does entry 3 give?
Answer: -7.86 eV/atom

***

Question: What is the formula in the third record?
Answer: YThScOs

***

Question: E of number 1 (CuCl3F)?
Answer: -2.27 eV/atom

***

Question: The lowest E belongs to which entry?
Answer: YThScOs